# 1
A relaxed structure of RbVAg2, computed with PBE.

Lattice parameters (Å, degrees): 5.260 5.260 5.260 60.00 60.00 60.00
Each line ends with the local moment (μB).
Fractional coordinates of all 4 atoms:
1 Rb 0.500 0.500 0.500  0.02
2 Ag 0.750 0.750 0.750  0.01
3 Ag 0.250 0.250 0.250  0.01
4 V 0.000 0.000 0.000  2.93

Values from the calculation:
spin magnetization = 3.7 μB per formula unit
energy relative to the elements = 0.88 eV per atom
energy above the most stable polymorph in this dataset = 51 meV per atom
calculated volume = 102.9 Å³ per cell
Fermi-level density of states = 6.8 states/eV per cell
symmetry = No. 225



# 2
A relaxed structure of RbVAg2, computed with PBE.

Lattice parameters (Å, degrees): 8.280 8.280 6.766 52.27 52.27 90.00
Each line ends with the local moment (μB).
Fractional coordinates of all 8 atoms:
1 Rb 0.000 0.000 0.000  0.03
2 Ag 0.558 0.125 0.250  0.03
3 Ag 0.192 0.625 0.250  0.03
4 Ag 0.875 0.808 0.750  0.03
5 V 0.500 0.500 0.000  2.86
6 V 0.250 0.750 0.500  2.86
7 Ag 0.375 0.442 0.750  0.03
8 Rb 0.750 0.250 0.500  0.03

Values from the calculation:
spin magnetization = 3.9 μB per formula unit
energy relative to the elements = 0.83 eV per atom
energy above the most stable polymorph in this dataset = 0 meV per atom
calculated volume = 232.5 Å³ per cell
Fermi-level density of states = 7.4 states/eV per cell
symmetry = No. 122



# 3
A relaxed structure of Rb3VAg, computed with PBE.

Lattice parameters (Å, degrees): 6.704 6.704 6.704 90.00 90.00 90.00
Each line ends with the local moment (μB).
Fractional coordinates of all 5 atoms:
1 Rb 0.000 0.500 0.000  0.01
2 V 0.500 0.500 0.500  3.22
3 Ag 0.000 0.000 0.000  0.01
4 Rb 0.500 0.000 0.000  0.01
5 Rb 0.000 0.000 0.500  0.01

Values from the calculation:
spin magnetization = 4.8 μB per formula unit
energy relative to the elements = 0.87 eV per atom
energy above the most stable polymorph in this dataset = 0 meV per atom
calculated volume = 301.3 Å³ per cell
Fermi-level density of states = 9.5 states/eV per cell
symmetry = No. 221



# 4
A relaxed structure of RbVAg3, computed with PBE.

Lattice parameters (Å, degrees): 5.305 5.305 5.305 90.00 90.00 90.00
Each line ends with the local moment (μB).
Fractional coordinates of all 5 atoms:
1 Ag 0.500 0.000 0.000  0.05
2 Ag 0.000 0.000 0.500  0.05
3 Rb 0.500 0.500 0.500  0.00
4 Ag 0.000 0.500 0.000  0.05
5 V 0.000 0.000 0.000  2.68

Values from the calculation:
spin magnetization = 3.4 μB per formula unit
energy relative to the elements = 0.73 eV per atom
energy above the most stable polymorph in this dataset = 0 meV per atom
calculated volume = 149.3 Å³ per cell
Fermi-level density of states = 7.4 states/eV per cell
symmetry = No. 221



# 5
A relaxed structure of RbVAg3, computed with PBE.

Lattice parameters (Å, degrees): 5.631 5.631 5.631 90.00 90.00 90.00
Each line ends with the local moment (μB).
Fractional coordinates of all 5 atoms:
1 Ag 0.000 0.500 0.000  -0.03
2 Ag 0.500 0.000 0.000  -0.03
3 V 0.500 0.500 0.500  3.10
4 Ag 0.000 0.000 0.500  -0.03
5 Rb 0.000 0.000 0.000  -0.02

Values from the calculation:
spin magnetization = 3.7 μB per formula unit
energy relative to the elements = 1.73 eV per atom
energy above the most stable polymorph in this dataset = 999 meV per atom
calculated volume = 178.5 Å³ per cell
Fermi-level density of states = 6.6 states/eV per cell
symmetry = No. 221



# 6
A relaxed structure of Rb2VZnAg, computed with PBE.

Lattice parameters (Å, degrees): 6.692 5.259 6.692 90.00 90.00 90.00
Each line ends with the local moment (μB).
Fractional coordinates of all 5 atoms:
1 Rb 0.500 0.000 0.000  0.01
2 Ag 0.000 0.000 0.000  0.04
3 Zn 0.500 0.500 0.500  0.01
4 V 0.000 0.500 0.000  3.07
5 Rb 0.000 0.000 0.500  0.01

Values from the calculation:
spin magnetization = 4.4 μB per formula unit
energy relative to the elements = 0.83 eV per atom
calculated volume = 235.5 Å³ per cell
Fermi-level density of states = 7.2 states/eV per cell
symmetry = No. 123